No. 1
An optimized crystal structure of CaThPd14. Source: Alexandria, functional GGA-PBE.

Properties
* calculated volume: 268.2 Å³/cell
* formation energy from the elements: -0.366 eV/atom
* total DFT energy (no corrections): -5.50 eV/atom
* total magnetic moment: 0.000 μB per atom

```
16
Lattice="-4.778 0.320 -3.301 2.062 -4.247 -3.397 -3.540 -5.399 4.601" Properties=species:S:1:pos:R:3 pbc="T T T"
Ca -2.788 -4.172 -0.211
Th -4.146 -6.136 -3.560
Pd -2.376 -3.436 -5.861
Pd -1.018 -1.473 -2.512
Pd -5.177 -4.012 -1.862
Pd -3.408 -1.313 -4.162
Pd -1.757 -6.296 -1.910
Pd 0.013 -3.596 -4.210
Pd -3.582 -1.616 -1.388
Pd -5.430 -4.435 1.014
Pd -0.146 -3.910 -1.437
Pd -1.994 -6.729 0.966
Pd -2.546 -3.749 -3.094
Pd -4.394 -6.567 -0.692
Pd -1.182 -1.777 0.270
Pd -3.030 -4.595 2.671
```

No. 2
An optimized crystal structure of CaThPd6. Source: Alexandria, functional GGA-PBE.

Properties
* calculated volume: 145.6 Å³/cell
* formation energy from the elements: -0.771 eV/atom
* total DFT energy (no corrections): -5.84 eV/atom
* total magnetic moment: 0.000 μB per atom

```
8
Lattice="4.191 0.000 0.000 0.000 4.191 0.000 0.000 0.000 8.288" Properties=species:S:1:pos:R:3 pbc="T T T"
Ca 0.000 0.000 0.000
Th 0.000 0.000 4.144
Pd 2.095 2.095 0.000
Pd 2.095 2.095 4.144
Pd 2.095 0.000 2.090
Pd 2.095 0.000 6.198
Pd 0.000 2.095 2.090
Pd 0.000 2.095 6.198
```

No. 3
An optimized crystal structure of Ca3ThPd12. Source: Alexandria, functional GGA-PBE.

Properties
* calculated volume: 286.5 Å³/cell
* formation energy from the elements: -0.635 eV/atom
* total DFT energy (no corrections): -5.37 eV/atom
* total magnetic moment: 0.000 μB per atom

```
16
Lattice="4.160 0.000 0.000 0.000 4.160 0.000 0.000 0.000 16.556" Properties=species:S:1:pos:R:3 pbc="T T T"
Ca 0.000 0.000 4.186
Ca 0.000 0.000 8.278
Ca 0.000 0.000 12.370
Th 0.000 0.000 0.000
Pd 2.080 2.080 0.000
Pd 2.080 2.080 4.177
Pd 2.080 2.080 8.278
Pd 2.080 2.080 12.379
Pd 2.080 0.000 2.066
Pd 2.080 0.000 6.231
Pd 2.080 0.000 10.325
Pd 2.080 0.000 14.490
Pd 0.000 2.080 2.066
Pd 0.000 2.080 6.231
Pd 0.000 2.080 10.325
Pd 0.000 2.080 14.490
```

No. 4
An optimized crystal structure of CaTh4Pd15. Source: Alexandria, functional GGA-PBE.

Properties
* calculated volume: 370.3 Å³/cell
* formation energy from the elements: -0.891 eV/atom
* total DFT energy (no corrections): -6.37 eV/atom
* total magnetic moment: 0.000 μB per atom

```
20
Lattice="4.212 0.000 0.000 0.000 4.212 0.000 0.000 0.000 20.878" Properties=species:S:1:pos:R:3 pbc="T T T"
Ca 0.000 0.000 0.000
Th 0.000 0.000 4.034
Th 0.000 0.000 8.312
Th 0.000 0.000 12.566
Th 0.000 0.000 16.845
Pd 2.106 2.106 0.000
Pd 2.106 2.106 4.195
Pd 2.106 2.106 8.361
Pd 2.106 2.106 12.518
Pd 2.106 2.106 16.684
Pd 2.106 0.000 2.085
Pd 2.106 0.000 6.253
Pd 2.106 0.000 10.439
Pd 2.106 0.000 14.626
Pd 2.106 0.000 18.793
Pd 0.000 2.106 2.085
Pd 0.000 2.106 6.253
Pd 0.000 2.106 10.439
Pd 0.000 2.106 14.626
Pd 0.000 2.106 18.793
```

No. 5
An optimized crystal structure of Ca2ThPd3. Source: Alexandria, functional GGA-PBE.

Properties
* calculated volume: 277.9 Å³/cell
* formation energy from the elements: -0.732 eV/atom
* total DFT energy (no corrections): -5.23 eV/atom
* total magnetic moment: 0.000 μB per atom

```
12
Lattice="-2.684 -2.326 -0.190 1.185 -0.973 -4.826 9.459 -11.289 4.598" Properties=species:S:1:pos:R:3 pbc="T T T"
Ca 3.684 -9.920 2.905
Ca 0.413 -6.016 1.314
Ca 2.225 -2.441 -1.618
Ca 8.412 -9.826 1.390
Th 2.639 -8.456 -0.304
Th -0.002 -0.001 0.000
Pd 5.396 -8.982 0.479
Pd 3.390 -6.806 2.204
Pd 2.566 -5.604 -0.897
Pd 0.071 -2.853 0.593
Pd -0.752 -1.652 -2.508
Pd 6.700 -10.765 3.815
```

No. 6
An optimized crystal structure of CaTh2Pd. Source: Alexandria, functional GGA-PBE.

Properties
* calculated volume: 125.5 Å³/cell
* formation energy from the elements: 0.006 eV/atom
* total DFT energy (no corrections): -5.50 eV/atom
* total magnetic moment: 0.000 μB per atom

```
4
Lattice="-3.522 0.477 0.282 -1.932 -2.166 2.070 -0.163 6.425 9.640" Properties=species:S:1:pos:R:3 pbc="T T T"
Ca 0.000 0.000 0.000
Pd -2.809 2.368 5.996
Th -0.675 4.264 6.900
Th -4.942 0.473 5.091
```

- Look up the total magnetic moment of the sixth one.
  0.000 μB per atom